! Er5Te2, relaxed, DFT GGA-PBE; values from VASP
! Space-group type: C2/c (15)
! Spin magnetization: 0.000 μB/f.u.
! Formation energy from raw total energies: -636 meV per atom
&SYSTEM
  ibrav = 0, nat = 14, ntyp = 2
/
ATOMIC_SPECIES
Er 167.26 Er.upf
Te 127.60 Te.upf
CELL_PARAMETERS angstrom
8.357 -3.485 0.000
8.357 3.485 0.000
-0.645 0.000 7.173
ATOMIC_POSITIONS crystal
Er 0.081 0.367 0.281
Er 0.149 0.851 0.750
Er 0.334 0.466 0.059
Er 0.367 0.081 0.781
Er 0.466 0.334 0.559
Er 0.534 0.666 0.441
Er 0.633 0.919 0.219
Er 0.666 0.534 0.941
Er 0.851 0.149 0.250
Er 0.919 0.633 0.719
Te 0.054 0.728 0.392
Te 0.272 0.946 0.108
Te 0.728 0.054 0.892
Te 0.946 0.272 0.608

=====

! Er3Te2, relaxed, DFT GGA-PBE; values from VASP
! Space-group type: Pnma (62)
! Spin magnetization: 0.017 μB/f.u.
! Formation energy from raw total energies: -997 meV per atom
&SYSTEM
  ibrav = 0, nat = 20, ntyp = 2
/
ATOMIC_SPECIES
Er 167.26 Er.upf
Te 127.60 Te.upf
CELL_PARAMETERS angstrom
11.804 0.000 0.000
0.000 4.064 0.000
0.000 0.000 11.573
ATOMIC_POSITIONS crystal
Er 0.044 0.250 0.123
Er 0.123 0.750 0.568
Er 0.208 0.250 0.793
Er 0.292 0.750 0.293
Er 0.377 0.250 0.068
Er 0.456 0.750 0.623
Er 0.544 0.250 0.377
Er 0.623 0.750 0.932
Er 0.708 0.250 0.707
Er 0.792 0.750 0.207
Er 0.877 0.250 0.432
Er 0.956 0.750 0.877
Te 0.035 0.750 0.321
Te 0.195 0.750 0.998
Te 0.305 0.250 0.498
Te 0.465 0.250 0.821
Te 0.535 0.750 0.179
Te 0.695 0.750 0.502
Te 0.805 0.250 0.002
Te 0.965 0.250 0.679

=====

! ErThTe2, relaxed, DFT GGA-PBE; values from VASP
! Space-group type: Fm-3m (225)
! Spin magnetization: 0.001 μB/f.u.
! Formation energy from raw total energies: -1078 meV per atom
&SYSTEM
  ibrav = 0, nat = 4, ntyp = 3
/
ATOMIC_SPECIES
Er 167.26 Er.upf
Th 232.04 Th.upf
Te 127.60 Te.upf
CELL_PARAMETERS angstrom
0.000 3.800 3.800
3.800 0.000 3.800
3.800 3.800 0.000
ATOMIC_POSITIONS crystal
Er 0.000 0.000 0.000
Th 0.500 0.500 0.500
Te 0.250 0.250 0.250
Te 0.750 0.750 0.750